# 1
# Co3Cu4 PBE-GGA relaxed
data_Co3Cu4
_symmetry_space_group_name_H-M 'P 6/m m m'
_symmetry_Int_Tables_number 191
_symmetry_space_group_name_Hall '-P 6 2'
_cell_length_a 4.5966
_cell_length_b 4.5966
_cell_length_c 4.6177
_cell_angle_alpha 90.00
_cell_angle_beta 90.00
_cell_angle_gamma 120.00
loop_
_atom_site_label
_atom_site_type_symbol
_atom_site_fract_x
_atom_site_fract_y
_atom_site_fract_z
Co1 Co 0.0000 0.5000 0.0000
Cu1 Cu 0.0000 0.0000 0.2532
Cu2 Cu 0.3333 0.6667 0.5000
# Crystal system ... hexagonal
# Total magnetization ... 5.24 μB/f.u.



# 2
# Co2Cu PBE-GGA relaxed
data_Co2Cu
_symmetry_space_group_name_H-M 'I m m a'
_symmetry_Int_Tables_number 74
_symmetry_space_group_name_Hall '-I 2b 2'
_cell_length_a 2.4492
_cell_length_b 3.9084
_cell_length_c 15.5644
_cell_angle_alpha 90.00
_cell_angle_beta 90.00
_cell_angle_gamma 90.00
loop_
_atom_site_label
_atom_site_type_symbol
_atom_site_fract_x
_atom_site_fract_y
_atom_site_fract_z
Co1 Co 0.0000 0.2500 0.0379
Co2 Co 0.0000 0.2500 0.1866
Cu1 Cu 0.0000 0.2500 0.6164
# Crystal system ... orthorhombic
# Total magnetization ... 3.33 μB/f.u.



# 3
# Co2Cu PBE-GGA relaxed
data_Co2Cu
_symmetry_space_group_name_H-M 'P 63/m m c'
_symmetry_Int_Tables_number 194
_symmetry_space_group_name_Hall '-P 6c 2c'
_cell_length_a 4.0413
_cell_length_b 4.0413
_cell_length_c 4.8510
_cell_angle_alpha 90.00
_cell_angle_beta 90.00
_cell_angle_gamma 120.00
loop_
_atom_site_label
_atom_site_type_symbol
_atom_site_fract_x
_atom_site_fract_y
_atom_site_fract_z
Co1 Co 0.0000 0.0000 0.0000
Co2 Co 0.3333 0.6667 0.2500
Cu1 Cu 0.3333 0.6667 0.7500
# Crystal system ... hexagonal
# Total magnetization ... 3.27 μB/f.u.



# 4
# CoCu PBE-GGA relaxed
data_CoCu
_symmetry_space_group_name_H-M 'P -6 m 2'
_symmetry_Int_Tables_number 187
_symmetry_space_group_name_Hall 'P -6 2'
_cell_length_a 2.4945
_cell_length_b 2.4945
_cell_length_c 4.2520
_cell_angle_alpha 90.00
_cell_angle_beta 90.00
_cell_angle_gamma 120.00
loop_
_atom_site_label
_atom_site_type_symbol
_atom_site_fract_x
_atom_site_fract_y
_atom_site_fract_z
Co1 Co 0.0000 0.0000 0.0000
Cu1 Cu 0.3333 0.6667 0.5000
# Crystal system ... hexagonal
# Total magnetization ... 1.58 μB/f.u.



# 5
# Co2Cu PBE-GGA relaxed
data_Co2Cu
_symmetry_space_group_name_H-M 'C m c m'
_symmetry_Int_Tables_number 63
_symmetry_space_group_name_Hall '-C 2c 2'
_cell_length_a 2.5153
_cell_length_b 13.0582
_cell_length_c 4.1112
_cell_angle_alpha 90.00
_cell_angle_beta 90.00
_cell_angle_gamma 90.00
loop_
_atom_site_label
_atom_site_type_symbol
_atom_site_fract_x
_atom_site_fract_y
_atom_site_fract_z
Co1 Co 0.0000 0.0561 0.2500
Co2 Co 0.0000 0.2810 0.7500
Cu1 Cu 0.0000 0.3883 0.2500
# Crystal system ... orthorhombic
# Total magnetization ... 3.35 μB/f.u.



# 6
# CoCu2 PBE-GGA relaxed
data_CoCu2
_symmetry_space_group_name_H-M 'I m m a'
_symmetry_Int_Tables_number 74
_symmetry_space_group_name_Hall '-I 2b 2'
_cell_length_a 2.4220
_cell_length_b 3.8553
_cell_length_c 16.6254
_cell_angle_alpha 90.00
_cell_angle_beta 90.00
_cell_angle_gamma 90.00
loop_
_atom_site_label
_atom_site_type_symbol
_atom_site_fract_x
_atom_site_fract_y
_atom_site_fract_z
Co1 Co 0.0000 0.2500 0.1104
Cu1 Cu 0.0000 0.2500 0.5403
Cu2 Cu 0.0000 0.2500 0.6856
# Crystal system ... orthorhombic
# Total magnetization ... 1.73 μB/f.u.



# 7
# CoCu PBE-GGA relaxed
data_CoCu
_symmetry_space_group_name_H-M 'P m -3 n'
_symmetry_Int_Tables_number 223
_symmetry_space_group_name_Hall '-P 4n 2 3'
_cell_length_a 6.4456
_cell_length_b 6.4456
_cell_length_c 6.4456
_cell_angle_alpha 90.00
_cell_angle_beta 90.00
_cell_angle_gamma 90.00
loop_
_atom_site_label
_atom_site_type_symbol
_atom_site_fract_x
_atom_site_fract_y
_atom_site_fract_z
Co1 Co 0.0000 0.2500 0.5000
Cu1 Cu 0.0000 0.5000 0.2500
# Crystal system ... cubic
# Total magnetization ... 2.02 μB/f.u.



# 8
# CoCu2 PBE-GGA relaxed
data_CoCu2
_symmetry_space_group_name_H-M 'I 4/m m m'
_symmetry_Int_Tables_number 139
_symmetry_space_group_name_Hall '-I 4 2'
_cell_length_a 2.4890
_cell_length_b 2.4890
_cell_length_c 11.2455
_cell_angle_alpha 90.00
_cell_angle_beta 90.00
_cell_angle_gamma 90.00
loop_
_atom_site_label
_atom_site_type_symbol
_atom_site_fract_x
_atom_site_fract_y
_atom_site_fract_z
Co1 Co 0.0000 0.0000 0.0000
Cu1 Cu 0.0000 0.0000 0.3347
# Crystal system ... tetragonal
# Total magnetization ... 1.61 μB/f.u.



no.,V (Å³/cell),formation energy (eV per formula unit),total DFT energy (no corrections) (eV per atom)
1,84.5,1.6,-5.1631
2,149.0,1.1,-5.7382
3,68.6,0.8,-5.8399
4,22.9,0.3,-5.4607
5,135.0,0.3,-5.9948
6,155.2,1.1,-4.7194
7,267.8,3.1,-4.0622
8,69.7,0.4,-4.9811